No. 1
UGe3Au3: relaxed, PBE-GGA.

It has space group Pm-3n (No. 223), with a = 7.033 Å, b = 7.033 Å, c = 7.033 Å, α = 90.00°, β = 90.00° and γ = 90.00°. The inequivalent atoms are U at (0.000, 0.000, 0.000), Ge at (0.000, 0.250, 0.500) and Au at (0.000, 0.500, 0.250).


No. 2
VGeAu2: relaxed, PBE-GGA.

It has space group I-42d (No. 122), with a = 3.814 Å, b = 3.814 Å, c = 19.961 Å, α = 90.00°, β = 90.00° and γ = 90.00°. The inequivalent atoms are V at (0.000, 0.000, 0.000), Ge at (0.000, 0.000, 0.500) and Au at (0.249, 0.250, 0.125).


Quick rundown of formation enthalpy at 0 K, same order as above: 0.317, 0.194 eV/atom